Density functional theory data (PBE-GGA) for crystalline Mn2AlS4 at its relaxed geometry.

Cell and atoms, written as POSCAR:
```
Mn2AlS4
1.0
4.297 -2.799 -4.763
4.823 -0.763 5.014
-6.371 -2.793 0.774
Mn Al S
4 2 8
Direct
0.500 0.500 0.500
0.500 0.000 0.500
0.500 0.000 0.000
0.000 0.000 0.000
0.500 0.500 0.000
0.000 0.500 0.500
0.283 0.256 0.026
0.260 0.269 0.509
0.730 0.256 0.474
0.740 0.250 0.009
0.270 0.744 0.526
0.740 0.731 0.491
0.260 0.750 0.991
0.717 0.744 0.974
```

Values from the calculation:
Polymorph energy (0 for the lowest one): 43 meV/atom
Raw formation energy: -0.662 eV per atom



Density functional theory data (PBE-GGA) for crystalline MnAlS3 at its relaxed geometry.

Cell and atoms, written as POSCAR:
```
MnAlS3
1.0
-3.415 2.945 0.858
-3.035 -3.430 -0.306
0.444 -0.795 4.499
S Mn Al
3 1 1
Direct
0.000 0.500 0.000
0.000 0.000 0.500
0.500 0.000 0.000
0.500 0.500 0.500
0.000 0.000 0.000
```

Values from the calculation:
Polymorph energy (0 for the lowest one): 797 meV/atom
Raw formation energy: 0.034 eV per atom



Density functional theory data (PBE-GGA) for crystalline MnAlS3 at its relaxed geometry.

Cell and atoms, written as POSCAR:
```
MnAlS3
1.0
-3.218 0.511 1.325
1.486 -3.256 4.867
2.052 12.505 0.157
Mn Al S
2 2 6
Direct
0.250 0.151 0.176
0.750 0.849 0.824
0.250 0.180 0.745
0.750 0.820 0.255
0.250 0.151 0.920
0.750 0.849 0.080
0.250 0.055 0.356
0.750 0.945 0.644
0.250 0.557 0.747
0.750 0.443 0.253
```

Values from the calculation:
Polymorph energy (0 for the lowest one): 0 meV/atom
Raw formation energy: -0.764 eV per atom



What did the second record say?
Density functional theory data (PBE-GGA) for crystalline MnAlS3 at its relaxed geometry.

Cell and atoms, written as POSCAR:
```
MnAlS3
1.0
-3.415 2.945 0.858
-3.035 -3.430 -0.306
0.444 -0.795 4.499
S Mn Al
3 1 1
Direct
0.000 0.500 0.000
0.000 0.000 0.500
0.500 0.000 0.000
0.500 0.500 0.500
0.000 0.000 0.000
```

Values from the calculation:
Polymorph energy (0 for the lowest one): 797 meV/atom
Raw formation energy: 0.034 eV per atom



Q: Which value of raw formation energy does entry 3 give?
A: -0.764 eV per atom



Q: polymorph energy (0 for the lowest one) of number 2 (MnAlS3)?
A: 797 meV/atom



Q: What is the raw formation energy in the third record?
A: -0.764 eV per atom